[1]
! LiLaRuS2 | the Alexandria database | PBEsol | relaxed; values from VASP
! formation energy without anion corrections	0.338	eV per atom
! electronic total energy	-0.361	Ry per atom
! V	29.89	Å³ per atom
! symmetry	P4/mmm (123)
! calculated density	3.456	Mg/m³
! Fermi-level density of states	6.63	states/eV/cell
&SYSTEM
  ibrav = 0, nat = 5, ntyp = 4
/
ATOMIC_SPECIES
Ru 101.07 Ru.upf
S 32.06 S.upf
Li 6.94 Li.upf
La 138.91 La.upf
CELL_PARAMETERS angstrom
4.8683 0.0000 0.0000
0.0000 5.5405 0.0000
0.0000 0.0000 5.5405
ATOMIC_POSITIONS crystal
Ru 0.5000 0.0000 0.0000
S 0.0000 0.0000 0.5000
S 0.0000 0.5000 0.0000
Li 0.5000 0.5000 0.5000
La 0.0000 0.0000 0.0000

=====

[2]
! LiLa2SeS | the Alexandria database | PBEsol | relaxed; values from VASP
! formation energy without anion corrections	-0.915	eV per atom
! electronic total energy	-0.374	Ry per atom
! V	26.78	Å³ per atom
! symmetry	P4/mmm (123)
! calculated density	4.908	Mg/m³
! Fermi-level density of states	4.63	states/eV/cell
&SYSTEM
  ibrav = 0, nat = 5, ntyp = 4
/
ATOMIC_SPECIES
S 32.06 S.upf
Li 6.94 Li.upf
Se 78.96 Se.upf
La 138.91 La.upf
CELL_PARAMETERS angstrom
-1.4486 -3.8409 1.0156
3.7656 -0.3177 4.1697
-3.7110 2.3327 3.5291
ATOMIC_POSITIONS crystal
S 0.5000 0.5000 0.5000
Li 0.5000 0.0000 0.0000
Se 0.0000 0.0000 0.0000
La 0.0000 0.0000 0.5000
La 0.0000 0.5000 0.0000

=====

[3]
! LiLa2Sb | the Alexandria database | PBEsol | relaxed; values from VASP
! formation energy without anion corrections	-0.612	eV per atom
! electronic total energy	-0.361	Ry per atom
! V	27.67	Å³ per atom
! symmetry	P4/mmm (123)
! calculated density	6.098	Mg/m³
! Fermi-level density of states	3.47	states/eV/cell
&SYSTEM
  ibrav = 0, nat = 4, ntyp = 3
/
ATOMIC_SPECIES
Sb 121.76 Sb.upf
Li 6.94 Li.upf
La 138.91 La.upf
CELL_PARAMETERS angstrom
4.3293 0.0000 0.0000
0.0000 5.0561 0.0747
0.0000 -0.0775 5.0560
ATOMIC_POSITIONS crystal
Sb 0.5000 0.5000 0.5000
Li 0.5000 0.0000 0.0000
La 0.0000 0.5000 0.0000
La 0.0000 0.0000 0.5000

=====

[4]
! Li2LaSb2 | the Alexandria database | PBEsol | relaxed; values from VASP
! formation energy without anion corrections	-0.798	eV per atom
! electronic total energy	-0.329	Ry per atom
! V	23.35	Å³ per atom
! symmetry	I4/mmm (139)
! calculated density	5.636	Mg/m³
! Fermi-level density of states	2.84	states/eV/cell
&SYSTEM
  ibrav = 0, nat = 5, ntyp = 3
/
ATOMIC_SPECIES
Sb 121.76 Sb.upf
La 138.91 La.upf
Li 6.94 Li.upf
CELL_PARAMETERS angstrom
-3.7893 -0.3911 -2.1393
2.1654 -1.0767 -3.6387
0.5299 -5.1686 4.4677
ATOMIC_POSITIONS crystal
Sb 0.3804 0.3804 0.7608
Sb 0.6196 0.6196 0.2392
La 0.0000 0.0000 0.0000
Li 0.2500 0.7500 0.5000
Li 0.7500 0.2500 0.5000

=====

[5]
! Li2LaSb | the Alexandria database | PBEsol | relaxed; values from VASP
! formation energy without anion corrections	-0.491	eV per atom
! electronic total energy	-0.290	Ry per atom
! V	23.86	Å³ per atom
! symmetry	F-43m (216)
! calculated density	4.776	Mg/m³
! Fermi-level density of states	1.25	states/eV/cell
&SYSTEM
  ibrav = 0, nat = 4, ntyp = 3
/
ATOMIC_SPECIES
Sb 121.76 Sb.upf
Li 6.94 Li.upf
La 138.91 La.upf
CELL_PARAMETERS angstrom
5.1321 0.0000 0.0000
2.5660 4.4407 0.0605
2.5660 1.4208 4.2077
ATOMIC_POSITIONS crystal
Sb 0.5001 0.4999 0.4999
Li 0.9998 0.0002 0.0002
Li 0.2501 0.2499 0.2499
La 0.7500 0.7500 0.7500

=====

[6]
! LiLa2Sb | the Alexandria database | PBEsol | relaxed; values from VASP
! formation energy without anion corrections	-0.609	eV per atom
! electronic total energy	-0.361	Ry per atom
! V	29.01	Å³ per atom
! symmetry	Amm2 (38)
! calculated density	5.816	Mg/m³
! Fermi-level density of states	4.61	states/eV/cell
&SYSTEM
  ibrav = 0, nat = 4, ntyp = 3
/
ATOMIC_SPECIES
Sb 121.76 Sb.upf
La 138.91 La.upf
Li 6.94 Li.upf
CELL_PARAMETERS angstrom
4.4002 0.0000 0.0000
0.0000 4.4569 0.0000
-2.2001 0.0000 5.9178
ATOMIC_POSITIONS crystal
Sb 0.6854 0.5000 0.3708
La 0.1073 0.0000 0.2147
La 0.4052 0.5000 0.8105
Li 0.8180 0.0000 0.6360

=====

[7]
! Li3LaSb | the Alexandria database | PBEsol | relaxed; values from VASP
! formation energy without anion corrections	-0.090	eV per atom
! electronic total energy	-0.239	Ry per atom
! V	24.27	Å³ per atom
! symmetry	Pm-3m (221)
! calculated density	3.851	Mg/m³
! Fermi-level density of states	4.27	states/eV/cell
&SYSTEM
  ibrav = 0, nat = 5, ntyp = 3
/
ATOMIC_SPECIES
Sb 121.76 Sb.upf
Li 6.94 Li.upf
La 138.91 La.upf
CELL_PARAMETERS angstrom
4.9510 0.0000 0.0000
0.0000 4.9510 0.0000
0.0000 0.0000 4.9510
ATOMIC_POSITIONS crystal
Sb 0.0000 0.0000 0.0000
Li 0.0000 0.5000 0.0000
Li 0.0000 0.0000 0.5000
Li 0.5000 0.0000 0.0000
La 0.5000 0.5000 0.5000

=====

[8]
! Li2LaSb | the Alexandria database | PBEsol | relaxed; values from VASP
! formation energy without anion corrections	-0.291	eV per atom
! electronic total energy	-0.276	Ry per atom
! V	23.88	Å³ per atom
! symmetry	P4/mmm (123)
! calculated density	4.774	Mg/m³
! Fermi-level density of states	2.51	states/eV/cell
&SYSTEM
  ibrav = 0, nat = 4, ntyp = 3
/
ATOMIC_SPECIES
Sb 121.76 Sb.upf
Li 6.94 Li.upf
La 138.91 La.upf
CELL_PARAMETERS angstrom
3.8094 0.0000 0.0000
0.0000 3.8094 0.0000
0.0000 0.0000 6.5812
ATOMIC_POSITIONS crystal
Sb 0.5000 0.5000 0.0000
Li 0.0000 0.0000 0.8044
Li 0.0000 0.0000 0.1956
La 0.5000 0.5000 0.5000

=====

[9]
! Li2LaSb | the Alexandria database | PBEsol | relaxed; values from VASP
! formation energy without anion corrections	-0.365	eV per atom
! electronic total energy	-0.281	Ry per atom
! V	26.84	Å³ per atom
! symmetry	P4mm (99)
! calculated density	4.247	Mg/m³
! Fermi-level density of states	2.47	states/eV/cell
&SYSTEM
  ibrav = 0, nat = 4, ntyp = 3
/
ATOMIC_SPECIES
Sb 121.76 Sb.upf
Li 6.94 Li.upf
La 138.91 La.upf
CELL_PARAMETERS angstrom
3.8991 0.0000 0.0000
0.0000 3.8991 0.0000
0.0000 0.0000 7.0605
ATOMIC_POSITIONS crystal
Sb 0.0000 0.0000 0.4689
Li 0.0000 0.0000 0.0688
Li 0.5000 0.5000 0.2573
La 0.5000 0.5000 0.7050

=====

[10]
! LiLaSbTe2 | the Alexandria database | PBEsol | relaxed; values from VASP
! formation energy without anion corrections	-0.570	eV per atom
! electronic total energy	-0.320	Ry per atom
! V	26.43	Å³ per atom
! symmetry	P4/mmm (123)
! calculated density	6.569	Mg/m³
! Fermi-level density of states	2.39	states/eV/cell
&SYSTEM
  ibrav = 0, nat = 5, ntyp = 4
/
ATOMIC_SPECIES
Sb 121.76 Sb.upf
Te 127.60 Te.upf
Li 6.94 Li.upf
La 138.91 La.upf
CELL_PARAMETERS angstrom
-4.1425 -2.3686 0.4732
2.3300 -3.4323 3.2171
-1.2504 3.0091 4.1159
ATOMIC_POSITIONS crystal
Sb 0.5000 0.0000 0.0000
Te 0.0000 0.0000 0.5000
Te 0.0000 0.5000 0.0000
Li 0.0000 0.0000 0.0000
La 0.5000 0.5000 0.5000

=====

[11]
! LiLaSc2 | the Alexandria database | PBEsol | relaxed; values from VASP
! electronic total energy	-0.365	Ry per atom
! V	25.26	Å³ per atom
! symmetry	R-3m (166)
! ΔE_f	168.2	meV per atom
! calculated density	3.874	Mg/m³
! Fermi-level density of states	5.22	states/eV/cell
&SYSTEM
  ibrav = 0, nat = 4, ntyp = 3
/
ATOMIC_SPECIES
La 138.91 La.upf
Li 6.94 Li.upf
Sc 44.96 Sc.upf
CELL_PARAMETERS angstrom
3.3251 0.0000 0.0000
1.6625 2.8796 0.0000
1.6625 0.9599 10.5534
ATOMIC_POSITIONS crystal
La 0.5000 0.5000 0.5000
Li 0.0000 0.0000 0.0000
Sc 0.2529 0.2529 0.2414
Sc 0.7471 0.7471 0.7586

=====

[12]
! Li3LaSc | the Alexandria database | PBEsol | relaxed; values from VASP
! electronic total energy	-0.181	Ry per atom
! V	26.29	Å³ per atom
! symmetry	Pm-3m (221)
! ΔE_f	1106.3	meV per atom
! calculated density	2.586	Mg/m³
! Fermi-level density of states	6.29	states/eV/cell
&SYSTEM
  ibrav = 0, nat = 5, ntyp = 3
/
ATOMIC_SPECIES
Sc 44.96 Sc.upf
Li 6.94 Li.upf
La 138.91 La.upf
CELL_PARAMETERS angstrom
5.0845 0.0000 0.0000
0.0000 5.0845 0.0000
0.0000 0.0000 5.0845
ATOMIC_POSITIONS crystal
Sc 0.5000 0.5000 0.5000
Li 0.0000 0.5000 0.0000
Li 0.0000 0.0000 0.5000
Li 0.5000 0.0000 0.0000
La 0.0000 0.0000 0.0000